# 1
VASP calculation (PBE) on RbH4NO after structural relaxation.

Cell and atoms, written as POSCAR:
```
RbH4NO
1.0
4.525 -2.581 0.000
4.525 2.581 0.000
-3.834 0.000 7.361
Rb H N O
2 8 2 2
Direct
0.088 0.088 0.331
0.912 0.912 0.669
0.151 0.476 0.184
0.316 0.316 0.012
0.363 0.363 0.772
0.476 0.151 0.184
0.524 0.849 0.816
0.637 0.637 0.228
0.684 0.684 0.988
0.849 0.524 0.816
0.361 0.361 0.151
0.639 0.639 0.849
0.241 0.241 0.720
0.759 0.759 0.280
```

E_tot = -4.72 eV/atom
calculated volume = 12.3 A^3/atom

# 2
VASP calculation (PBE) on RbHN2O after structural relaxation.

Cell and atoms, written as POSCAR:
```
RbHN2O
1.0
6.143 0.000 0.000
0.000 6.143 0.000
0.000 0.000 4.968
Rb H N O
1 1 2 1
Direct
0.000 0.000 0.000
0.500 0.500 0.500
0.000 0.500 0.000
0.500 0.000 0.000
0.000 0.000 0.500
```

E_tot = -2.75 eV/atom
calculated volume = 37.5 A^3/atom

# 3
VASP calculation (PBE) on RbHN2O after structural relaxation.

Cell and atoms, written as POSCAR:
```
RbHN2O
1.0
3.347 0.000 0.000
0.000 3.347 0.000
0.000 0.000 6.040
Rb H N O
1 1 2 1
Direct
0.000 0.000 0.000
0.500 0.500 0.500
0.000 0.500 0.500
0.500 0.000 0.500
0.500 0.500 0.000
```

E_tot = -3.30 eV/atom
calculated volume = 13.5 A^3/atom

# 4
VASP calculation (PBE) on RbH6N2O2 after structural relaxation.

Cell and atoms, written as POSCAR:
```
RbH6N2O2
1.0
4.886 0.000 0.000
-2.443 4.231 0.000
0.000 0.000 4.535
Rb H N O
1 6 2 2
Direct
0.000 0.000 0.000
0.090 0.545 0.285
0.455 0.545 0.285
0.455 0.910 0.285
0.545 0.090 0.715
0.545 0.455 0.715
0.910 0.455 0.715
0.333 0.667 0.332
0.667 0.333 0.668
0.333 0.667 0.742
0.667 0.333 0.258
```

E_tot = -4.61 eV/atom
calculated volume = 8.5 A^3/atom

# 5
VASP calculation (PBE) on Rb2H6N2O after structural relaxation.

Cell and atoms, written as POSCAR:
```
Rb2H6N2O
1.0
5.691 -1.943 0.000
5.691 1.943 0.000
-5.009 0.000 5.942
Rb H N O
2 6 2 1
Direct
0.057 0.057 0.289
0.943 0.943 0.711
0.044 0.616 0.297
0.291 0.291 0.948
0.384 0.956 0.703
0.616 0.044 0.297
0.709 0.709 0.052
0.956 0.384 0.703
0.247 0.247 0.784
0.753 0.753 0.216
0.500 0.500 0.500
```

E_tot = -4.50 eV/atom
calculated volume = 11.9 A^3/atom

# 6
VASP calculation (PBE) on RbH2SNO3 after structural relaxation.

Cell and atoms, written as POSCAR:
```
RbH2SNO3
1.0
7.469 0.000 0.000
0.000 7.971 0.000
0.000 0.000 14.897
Rb H S N O
8 16 8 8 24
Direct
0.134 0.143 0.083
0.134 0.357 0.583
0.366 0.643 0.083
0.366 0.857 0.583
0.634 0.143 0.417
0.634 0.357 0.917
0.866 0.643 0.417
0.866 0.857 0.917
0.073 0.535 0.225
0.073 0.965 0.725
0.089 0.602 0.807
0.089 0.898 0.307
0.411 0.102 0.807
0.411 0.398 0.307
0.427 0.035 0.225
0.427 0.465 0.725
0.573 0.535 0.275
0.573 0.965 0.775
0.589 0.602 0.693
0.589 0.898 0.193
0.911 0.102 0.693
0.911 0.398 0.193
0.927 0.035 0.275
0.927 0.465 0.775
0.129 0.156 0.364
0.129 0.344 0.864
0.371 0.656 0.364
0.371 0.844 0.864
0.629 0.156 0.136
0.629 0.344 0.636
0.871 0.656 0.136
0.871 0.844 0.636
0.006 0.506 0.828
0.006 0.994 0.328
0.494 0.006 0.828
0.494 0.494 0.328
0.506 0.506 0.672
0.506 0.994 0.172
0.994 0.006 0.672
0.994 0.494 0.172
0.002 0.713 0.615
0.002 0.787 0.115
0.227 0.094 0.442
0.227 0.406 0.942
0.246 0.705 0.290
0.246 0.795 0.790
0.254 0.205 0.290
0.254 0.295 0.790
0.273 0.594 0.442
0.273 0.906 0.942
0.498 0.213 0.615
0.498 0.287 0.115
0.502 0.713 0.885
0.502 0.787 0.385
0.727 0.094 0.058
0.727 0.406 0.558
0.746 0.705 0.210
0.746 0.795 0.710
0.754 0.205 0.210
0.754 0.295 0.710
0.773 0.594 0.058
0.773 0.906 0.558
0.998 0.213 0.885
0.998 0.287 0.385
```

E_tot = -5.53 eV/atom
calculated volume = 13.9 A^3/atom